A geometry-optimized Dy2Er2InCu2Ge4 structure. Source: OQMD via LeMat-Bulk, functional PBE-GGA.

Unit cell a=15.5538 b=4.2316 c=7.1198 alpha=90.00 beta=108.06 gamma=90.00
Closest atoms and distances in Å follow each position.
Space group C2/m (No. 12)
Unique sites:
Dy1 0.1519 0.0000 0.4317  5 Ge 2.91-3.02, 1 Cu 3.13
Er1 0.0899 0.0000 0.8856  6 Ge 3.00-3.12, 3 Cu 3.05-3.06
In1 0.0000 0.5000 0.5000  4 Ge 2.88-3.05
Cu1 0.2171 0.5000 0.1340  4 Ge 2.47-2.65
Ge1 0.0626 0.5000 0.1597  1 Cu 2.47, 1 Ge 2.49
Ge2 0.1984 0.5000 0.7511  3 Cu 2.49-2.65

Values from the calculation:
Its raw total energy is -4.958 eV/atom.

=====

A geometry-optimized DyEr2Cu4Si2Ge2 structure. Source: OQMD via LeMat-Bulk, functional PBE-GGA.

Unit cell a=4.1175 b=6.6035 c=13.7712 alpha=90.00 beta=90.00 gamma=90.00
Closest atoms and distances in Å follow each position.
Space group Immm (No. 71)
Unique sites:
Dy1 0.0000 0.0000 0.0000  4 Ge 2.89, 2 Si 2.99
Er1 0.0000 0.5000 0.1298  2 Si 2.95, 6 Cu 2.96-2.98, 4 Ge 3.01
Cu1 0.0000 0.3092 0.3261  3 Si 2.49-2.54, 1 Ge 2.52, 1 Cu 2.52
Si1 0.0000 0.0000 0.2170  6 Cu 2.49-2.54
Ge1 0.0000 0.1923 0.5000  2 Cu 2.52, 1 Ge 2.54

Values from the calculation:
Its raw total energy is -5.069 eV/atom.

=====

A geometry-optimized DyEr2Cu4Si2Ge2 structure. Source: OQMD via LeMat-Bulk, functional PBE-GGA.

Unit cell a=4.1494 b=6.5839 c=13.7609 alpha=90.00 beta=90.00 gamma=90.00
Closest atoms and distances in Å follow each position.
Space group Immm (No. 71)
Unique sites:
Dy1 0.0000 0.0000 0.0000  4 Si 2.94, 2 Ge 2.99
Er1 0.0000 0.5000 0.1289  6 Cu 2.94-3.11, 2 Ge 2.96, 4 Si 2.98
Cu1 0.0000 0.3087 0.3359  1 Si 2.40, 1 Cu 2.52, 3 Ge 2.53-2.61
Si1 0.0000 0.1832 0.5000  2 Cu 2.40, 1 Si 2.41
Ge1 0.0000 0.0000 0.2172  6 Cu 2.53-2.61

Values from the calculation:
Its raw total energy is -5.060 eV/atom.

=====

A geometry-optimized DyEr2Cu4Sn2Ge2 structure. Source: OQMD via LeMat-Bulk, functional PBE-GGA.

Unit cell a=4.3333 b=6.7008 c=14.4314 alpha=90.00 beta=90.00 gamma=90.00
Closest atoms and distances in Å follow each position.
Space group Immm (No. 71)
Unique sites:
Dy1 0.0000 0.0000 0.0000  4 Ge 3.00, 2 Sn 3.15
Er1 0.0000 0.5000 0.1246  6 Cu 3.04-3.36, 4 Ge 3.09, 2 Sn 3.13
Cu1 0.0000 0.3097 0.3402  1 Ge 2.44, 1 Cu 2.55, 3 Sn 2.65-2.72
Sn1 0.0000 0.0000 0.2185  6 Cu 2.65-2.72
Ge1 0.0000 0.1904 0.5000  2 Cu 2.44, 1 Ge 2.55

Values from the calculation:
Its raw total energy is -4.750 eV/atom.

=====

> raw total energy of number 2 (DyEr2Cu4Si2Ge2)?

-5.069 eV/atom

=====

> raw total energy of number 1 (Dy2Er2InCu2Ge4)?

-4.958 eV/atom

=====

> Which of these has the lowest raw total energy?

number 2

=====

Copy entry 4 word for word.
A geometry-optimized DyEr2Cu4Sn2Ge2 structure. Source: OQMD via LeMat-Bulk, functional PBE-GGA.

Unit cell a=4.3333 b=6.7008 c=14.4314 alpha=90.00 beta=90.00 gamma=90.00
Closest atoms and distances in Å follow each position.
Space group Immm (No. 71)
Unique sites:
Dy1 0.0000 0.0000 0.0000  4 Ge 3.00, 2 Sn 3.15
Er1 0.0000 0.5000 0.1246  6 Cu 3.04-3.36, 4 Ge 3.09, 2 Sn 3.13
Cu1 0.0000 0.3097 0.3402  1 Ge 2.44, 1 Cu 2.55, 3 Sn 2.65-2.72
Sn1 0.0000 0.0000 0.2185  6 Cu 2.65-2.72
Ge1 0.0000 0.1904 0.5000  2 Cu 2.44, 1 Ge 2.55

Values from the calculation:
Its raw total energy is -4.750 eV/atom.